(1)
! RbZrB2, optimized geometry, DFT PBE; values from VASP
! Symmetry = Fm-3m (225)
! ΔE_f = 1.693 eV per atom
! D(E_F) = 1.97 states/eV per atom
! Final energy = -16.1 eV for the cell shown
! Polymorph energy (0 for the lowest one) = 0.377 eV/atom
&SYSTEM
  ibrav = 0, nat = 4, ntyp = 3
/
ATOMIC_SPECIES
B 10.81 B.upf
Rb 85.47 Rb.upf
Zr 91.22 Zr.upf
CELL_PARAMETERS angstrom
0.0000 3.2910 3.2910
3.2910 0.0000 3.2910
3.2910 3.2910 0.0000
ATOMIC_POSITIONS crystal
B 0.2500 0.2500 0.2500
B 0.7500 0.7500 0.7500
Rb 0.0000 0.0000 0.0000
Zr 0.5000 0.5000 0.5000


(2)
! Re3B, optimized geometry, DFT PBE; values from VASP
! Symmetry = Cmcm (63)
! ΔE_f = -0.199 eV per atom
! D(E_F) = 0.54 states/eV per atom
! Final energy = -89.6 eV for the cell shown
! Polymorph energy (0 for the lowest one) = 0.000 eV/atom
&SYSTEM
  ibrav = 0, nat = 8, ntyp = 2
/
ATOMIC_SPECIES
Re 186.21 Re.upf
B 10.81 B.upf
CELL_PARAMETERS angstrom
-0.6161 -4.8884 -0.2273
2.2236 3.9239 -1.9966
5.7208 -0.9321 4.5395
ATOMIC_POSITIONS crystal
Re 0.1331 0.8669 0.4344
Re 0.8669 0.1331 0.5656
Re 0.5758 0.4242 0.7500
Re 0.4242 0.5758 0.2500
Re 0.1331 0.8669 0.0656
Re 0.8669 0.1331 0.9344
B 0.7452 0.2548 0.2500
B 0.2548 0.7452 0.7500


(3)
! Re3B, optimized geometry, DFT PBE; values from VASP
! Symmetry = P2_1/m (11)
! ΔE_f = -0.098 eV per atom
! D(E_F) = 0.51 states/eV per atom
! Final energy = -88.8 eV for the cell shown
! Polymorph energy (0 for the lowest one) = 0.101 eV/atom
&SYSTEM
  ibrav = 0, nat = 8, ntyp = 2
/
ATOMIC_SPECIES
Re 186.21 Re.upf
B 10.81 B.upf
CELL_PARAMETERS angstrom
-1.3313 -2.5283 0.5249
0.7423 -1.5090 -5.3854
5.3299 -2.2008 2.9169
ATOMIC_POSITIONS crystal
Re 0.7500 0.8969 0.1395
Re 0.2500 0.1031 0.8605
Re 0.7500 0.4410 0.1619
Re 0.2500 0.5590 0.8381
Re 0.7500 0.2298 0.5290
Re 0.2500 0.7702 0.4710
B 0.7500 0.8048 0.7390
B 0.2500 0.1952 0.2610


(4)
! ReB5, optimized geometry, DFT PBE; values from VASP
! Symmetry = Cmmm (65)
! ΔE_f = 0.839 eV per atom
! D(E_F) = 0.30 states/eV per atom
! Final energy = -40.8 eV for the cell shown
&SYSTEM
  ibrav = 0, nat = 6, ntyp = 2
/
ATOMIC_SPECIES
Re 186.21 Re.upf
B 10.81 B.upf
CELL_PARAMETERS angstrom
-1.6337 -2.1734 0.3640
2.7947 -1.8587 1.4452
-2.5541 2.5150 3.5536
ATOMIC_POSITIONS crystal
Re 0.0000 0.0000 0.0000
B 0.5000 0.7883 0.5765
B 0.0000 0.6570 0.3139
B 0.5000 0.5000 0.0000
B 0.0000 0.3430 0.6861
B 0.5000 0.2117 0.4235


(5)
! Re3B, optimized geometry, DFT PBE; values from VASP
! Symmetry = Pmm2 (25)
! ΔE_f = 0.141 eV per atom
! D(E_F) = 0.92 states/eV per atom
! Final energy = -43.5 eV for the cell shown
! Polymorph energy (0 for the lowest one) = 0.340 eV/atom
&SYSTEM
  ibrav = 0, nat = 4, ntyp = 2
/
ATOMIC_SPECIES
Re 186.21 Re.upf
B 10.81 B.upf
CELL_PARAMETERS angstrom
-2.5583 -1.1950 -0.4942
1.0234 -2.5268 0.8122
-1.8061 1.2793 6.2558
ATOMIC_POSITIONS crystal
Re 0.0000 0.5000 0.4738
Re 0.5000 0.5000 0.1253
Re 0.5000 0.0000 0.7409
B 0.0000 0.0000 0.9933


(6)
! ReB3, optimized geometry, DFT PBE; values from VASP
! Symmetry = P6_3/mmc (194)
! ΔE_f = 0.751 eV per atom
! D(E_F) = 0.55 states/eV per atom
! Final energy = -59.0 eV for the cell shown
&SYSTEM
  ibrav = 0, nat = 8, ntyp = 2
/
ATOMIC_SPECIES
Re 186.21 Re.upf
B 10.81 B.upf
CELL_PARAMETERS angstrom
1.0582 0.9893 -2.7437
-1.7264 1.8783 1.7656
6.4698 2.6894 3.4651
ATOMIC_POSITIONS crystal
Re 0.6667 0.3333 0.7500
Re 0.3333 0.6667 0.2500
B 0.0000 0.0000 0.5000
B 0.0000 0.0000 0.0000
B 0.3333 0.6667 0.5534
B 0.6667 0.3333 0.0534
B 0.6667 0.3333 0.4466
B 0.3333 0.6667 0.9466


(7)
! Re4B, optimized geometry, DFT PBE; values from VASP
! Symmetry = Fdd2 (43)
! ΔE_f = -0.033 eV per atom
! D(E_F) = 0.56 states/eV per atom
! Final energy = -113.3 eV for the cell shown
! Polymorph energy (0 for the lowest one) = 0.000 eV/atom
&SYSTEM
  ibrav = 0, nat = 10, ntyp = 2
/
ATOMIC_SPECIES
Re 186.21 Re.upf
B 10.81 B.upf
CELL_PARAMETERS angstrom
5.4019 -0.0815 0.0000
-2.1569 4.9533 0.0000
-1.6225 -2.4359 5.0913
ATOMIC_POSITIONS crystal
Re 0.7058 0.4598 0.6781
Re 0.7816 0.0277 0.3219
Re 0.7606 0.0243 0.8558
Re 0.1685 0.9048 0.1442
Re 0.2743 0.5106 0.3558
Re 0.1548 0.9185 0.6442
Re 0.2777 0.5316 0.8219
Re 0.7098 0.4558 0.1781
B 0.2355 0.2355 0.0000
B 0.4855 0.9855 0.5000


(8)
! Re2B, optimized geometry, DFT PBE; values from VASP
! Symmetry = Fddd (70)
! ΔE_f = -0.169 eV per atom
! D(E_F) = 0.46 states/eV per atom
! Final energy = -128.3 eV for the cell shown
! Polymorph energy (0 for the lowest one) = 0.000 eV/atom
&SYSTEM
  ibrav = 0, nat = 12, ntyp = 2
/
ATOMIC_SPECIES
Re 186.21 Re.upf
B 10.81 B.upf
CELL_PARAMETERS angstrom
4.3673 0.0000 1.2947
2.1837 3.9787 0.6473
-0.0317 0.0000 8.1207
ATOMIC_POSITIONS crystal
Re 0.4189 0.1622 0.5000
Re 0.0811 0.8378 0.5000
Re 0.3311 0.3378 0.0000
Re 0.6689 0.6622 0.0000
Re 0.0835 0.0000 0.8330
Re 0.9165 0.0000 0.1670
Re 0.6665 0.5000 0.6670
Re 0.8335 0.5000 0.3330
B 0.1257 0.5000 0.7487
B 0.3743 0.5000 0.2513
B 0.6243 0.0000 0.7513
B 0.3757 0.0000 0.2487